GGA-PBE Mn2TlCr, optimized geometry; offset from the most stable computed form = 93 meV/atom; magnetic moment = 0.819 μB per atom; density = 9.48 g/cm3; electronic total energy = -0.26196 Ha/atom; energy of formation = 0.45 eV per atom
1.0
4.971 -0.166 -0.310
2.027 4.543 0.310
-3.195 -2.674 2.735
Tl Cr Mn
1 1 2
Direct
0.497 0.497 0.000 Tl
0.240 0.740 0.500 Cr
0.754 0.254 0.500 Mn
0.009 0.009 0.000 Mn